# TbPaHg2O6, optimized geometry, DFT PBE-GGA
# Final energy ... -200.313 eV for the cell shown
data_TbPaHg2O6
_cell_length_a 5.8772
_cell_length_b 5.8772
_cell_length_c 15.6104
_cell_angle_alpha 90.00
_cell_angle_beta 90.00
_cell_angle_gamma 120.00
_symmetry_space_group_name_H-M 'R -3'
_symmetry_Int_Tables_number 148
_symmetry_space_group_name_Hall '-R 3'
loop_
_atom_site_label
_atom_site_fract_x
_atom_site_fract_y
_atom_site_fract_z
Tb1 0.0000 0.0000 0.0000
Pa1 0.0000 0.0000 0.5000
Hg1 0.0000 0.0000 0.2539
O1 0.0114 0.6273 0.2493